(1)
The following is a DFT calculation (PBE) of a geometry-optimized YHo2Bi structure.

Summary:
- DFT formation energy: -1.6 eV per formula unit
- V: 248 Å³ per cell
- Excess energy over the best structure of this formula in the dataset: 0.0 meV per atom
- DFT total energy: -5.2675 eV per atom

```
8
Lattice="-0.058 -2.764 3.095 5.617 3.325 0.292 -4.164 6.529 5.753" Properties=species:S:1:pos:R:3 pbc="T T T"
Y -2.498 5.114 4.520
Y 3.894 1.976 4.620
Ho 1.271 -0.564 2.302
Ho 1.824 4.989 4.489
Ho 0.124 7.655 6.838
Ho -0.429 2.102 4.651
Bi -0.265 4.519 6.813
Bi 1.660 2.572 2.327
```


(2)
The following is a DFT calculation (PBE) of a geometry-optimized TbGa2BO6 structure.

Summary:
- V: 237 Å³ per cell
- DFT total energy: -7.1328 eV per atom
- Raw formation energy: -2.42 eV/atom

```
20
Lattice="-3.241 -2.338 -4.424 -5.419 -3.312 2.389 -5.029 4.164 -1.847" Properties=species:S:1:pos:R:3 pbc="T T T"
Ga -5.203 -0.744 -2.972
Ga -8.486 -0.742 -0.910
Ga -3.635 -0.585 -0.187
Ga -10.053 -0.901 -3.695
O -7.868 -2.470 -0.966
O -7.624 -3.709 -3.131
O -3.611 -1.226 -3.837
O -8.773 -0.050 -2.596
O -2.051 -1.205 -0.975
O -6.460 -1.149 -4.323
O -7.229 -0.337 0.441
O -5.820 0.984 -2.916
O -11.638 -0.281 -2.907
O -6.064 2.223 -0.751
O -10.077 -0.260 -0.045
O -4.915 -1.436 -1.286
B -7.780 -3.727 -1.687
B -5.909 2.242 -2.195
Tb -6.161 -2.594 0.545
Tb -7.527 1.108 -4.427
```


(3)
The following is a DFT calculation (PBE) of a geometry-optimized ScSnAu structure.

Summary:
- DFT formation energy: -1.8 eV per formula unit
- V: 256 Å³ per cell
- DFT total energy: -5.1394 eV per atom

```
12
Lattice="-4.582 -0.661 -4.918 -2.195 -3.252 2.481 -4.584 5.762 3.496" Properties=species:S:1:pos:R:3 pbc="T T T"
Sc -5.200 -1.203 0.337
Sc -8.655 2.978 -1.582
Sc -6.160 3.052 0.722
Sc -2.705 -1.128 2.641
Au -9.039 2.377 1.633
Au -5.228 0.797 2.933
Au -2.321 -0.527 -0.574
Au -6.132 1.053 -1.874
Sn -3.540 1.413 0.891
Sn -7.821 0.437 0.168
Sn -7.030 2.653 3.772
Sn -4.331 -0.803 -2.712
```